This record from the Alexandria database describes a relaxed Nd6SmEr6 crystal. The functional is GGA-PBE.

Computed properties:
uncorrected energy = -4.459 eV/atom
total magnetization = 0.001 μB per atom
ΔH_f (0 K) = 0.211 eV/atom

Cell lengths 6.6128, 11.1516, 6.6595 Å; angles 90.00, 115.27, 90.00 degrees
With the nearest neighbours (Å) after each atom.
Sites, in units of the cell vectors:
Nd (0.0000, 0.1711, 0.0000)  6 Er 3.50-3.57, 3 Nd 3.54-3.82, 1 Sm 3.67
Nd (0.0000, 0.8289, 0.0000)  6 Er 3.50-3.57, 3 Nd 3.54-3.82, 1 Sm 3.67
Nd (0.2727, 0.0000, 0.7413)  6 Er 3.44-3.60, 4 Nd 3.47-3.67
Nd (0.3339, 0.5000, 0.6154)  1 Nd 3.17, 4 Er 3.28-3.35
Nd (0.6661, 0.5000, 0.3846)  1 Nd 3.17, 4 Er 3.28-3.35
Nd (0.7273, 0.0000, 0.2587)  6 Er 3.44-3.60, 4 Nd 3.47-3.67
Sm (0.0000, 0.5000, 0.0000)  8 Nd 3.67-4.04, 4 Er 4.10
Er (0.0000, 0.2670, 0.5000)  6 Nd 3.28-3.50, 4 Er 3.39-3.56
Er (0.0000, 0.7330, 0.5000)  6 Nd 3.28-3.50, 4 Er 3.39-3.56
Er (0.5000, 0.1993, 0.5000)  4 Er 3.39-3.46, 6 Nd 3.44-3.71
Er (0.5000, 0.2830, 0.0000)  6 Nd 3.35-3.60, 4 Er 3.46-3.56
Er (0.5000, 0.7170, 0.0000)  6 Nd 3.35-3.60, 4 Er 3.46-3.56
Er (0.5000, 0.8007, 0.5000)  4 Er 3.39-3.46, 6 Nd 3.44-3.71